(1)
{
  "formula": "PmNd4Sn2",
  "functional": "GGA-PBE",
  "state": "relaxed",
  "cell": [[2.635, 1.521, 10.472], [-2.635, 1.521, 10.472], [0.000, -3.043, 10.472]],
  "species": ["Pm", "Nd", "Nd", "Nd", "Nd", "Sn", "Sn"],
  "frac_coords": [[0.000, 0.000, 0.000], [0.205, 0.205, 0.205], [0.389, 0.389, 0.389], [0.611, 0.611, 0.611], [0.795, 0.795, 0.795], [0.101, 0.101, 0.101], [0.899, 0.899, 0.899]],
  "e_form_ev_per_atom": -0.25,
  "e_tot_ry_per_atom": -0.3524,
  "total_magnetization_mub_per_atom": 0.2354
}

(2)
{
  "formula": "TbPmNdSn",
  "functional": "GGA-PBE",
  "state": "relaxed",
  "cell": [[0.000, 3.906, 3.906], [3.906, 0.000, 3.906], [3.906, 3.906, 0.000]],
  "species": ["Tb", "Pm", "Nd", "Sn"],
  "frac_coords": [[0.000, 0.000, 0.000], [0.250, 0.250, 0.250], [0.750, 0.750, 0.750], [0.500, 0.500, 0.500]],
  "e_form_ev_per_atom": -0.26,
  "e_tot_ry_per_atom": -0.3527,
  "total_magnetization_mub_per_atom": 0.0000
}

(3)
{
  "formula": "PmNdTlSn",
  "functional": "GGA-PBE",
  "state": "relaxed",
  "cell": [[0.000, 3.882, 3.882], [3.882, 0.000, 3.882], [3.882, 3.882, 0.000]],
  "species": ["Pm", "Nd", "Tl", "Sn"],
  "frac_coords": [[0.000, 0.000, 0.000], [0.500, 0.500, 0.500], [0.750, 0.750, 0.750], [0.250, 0.250, 0.250]],
  "relative_energy_ev_per_atom": 0.007,
  "e_form_ev_per_atom": -0.51,
  "e_tot_ry_per_atom": -0.3293,
  "total_magnetization_mub_per_atom": 0.0000
}